MgZr2Bi2: optimized geometry, PBE.

extended XYZ file:
```
10
Lattice="8.125 0.000 0.000 0.000 8.125 0.000 0.000 0.000 3.904" Properties=species:S:1:pos:R:3 pbc="T T T"
Mg 0.000 0.000 0.000
Mg 4.062 4.062 0.000
Zr 1.105 2.957 0.000
Zr 2.957 7.020 0.000
Zr 5.168 1.105 0.000
Zr 7.020 5.168 0.000
Bi 1.297 5.360 1.952
Bi 2.765 1.297 1.952
Bi 5.360 6.828 1.952
Bi 6.828 2.765 1.952
```

## Properties
**Spin magnetization**: 0.00 μB/f.u.
**ΔH_f (0 K)**: -0.16 eV/atom
**Crystal system**: tetragonal